Record 1
# LiCa2In2

An optimized crystal structure of LiCa2In2 (PBE, the Alexandria database).

abc: 8.969 8.969 3.773
angles: 90.00 90.00 90.00
Fractional coordinates of all 10 atoms:
1 Li 0.000 0.000 0.000
2 Li 0.500 0.500 0.000
3 Ca 0.161 0.339 0.000
4 Ca 0.339 0.839 0.000
5 Ca 0.661 0.161 0.000
6 Ca 0.839 0.661 0.000
7 In 0.135 0.635 0.500
8 In 0.365 0.135 0.500
9 In 0.635 0.865 0.500
10 In 0.865 0.365 0.500

- ΔE to the lowest computed polymorph (meV per atom) = 158.9
- ΔE_f (eV/atom) = -0.19
- space group = P4/mbm


Record 2
# LiInPb

An optimized crystal structure of LiInPb (PBE, the Alexandria database).

abc: 4.896 4.896 8.049
angles: 90.00 90.00 120.00
Fractional coordinates of all 6 atoms:
1 Li 0.000 0.000 0.000
2 Li 0.000 0.000 0.500
3 In 0.667 0.333 0.183
4 In 0.667 0.333 0.817
5 Pb 0.333 0.667 0.304
6 Pb 0.333 0.667 0.696

- ΔE_f (eV/atom) = -0.08
- space group = P-6m2


Record 3
# PrDy6Er2Sc

An optimized crystal structure of PrDy6Er2Sc (PBE, the Alexandria database).

abc: 9.048 9.048 8.725
angles: 90.76 90.76 118.16
Fractional coordinates of all 20 atoms:
1 Pr 0.033 0.967 0.750
2 Pr 0.967 0.033 0.250
3 Dy 0.040 0.458 0.294
4 Dy 0.135 0.789 0.053
5 Dy 0.211 0.865 0.447
6 Dy 0.267 0.522 0.907
7 Dy 0.458 0.040 0.794
8 Dy 0.478 0.733 0.593
9 Dy 0.522 0.267 0.407
10 Dy 0.542 0.960 0.206
11 Dy 0.733 0.478 0.093
12 Dy 0.789 0.135 0.553
13 Dy 0.865 0.211 0.947
14 Dy 0.960 0.542 0.706
15 Er 0.210 0.324 0.559
16 Er 0.324 0.210 0.059
17 Er 0.676 0.790 0.941
18 Er 0.790 0.676 0.441
19 Sc 0.440 0.560 0.250
20 Sc 0.560 0.440 0.750

- ΔE_f (eV/atom) = 0.13
- space group = C2/c


Record 4
# SnH12I6

An optimized crystal structure of SnH12I6 (PBE, the Alexandria database).

abc: 12.945 12.945 12.945
angles: 119.39 119.39 119.39
Fractional coordinates of all 19 atoms:
1 Sn 0.000 0.000 0.000
2 H 0.092 0.407 0.298
3 H 0.149 0.430 0.386
4 H 0.298 0.092 0.407
5 H 0.386 0.149 0.430
6 H 0.407 0.298 0.092
7 H 0.430 0.386 0.149
8 H 0.570 0.614 0.851
9 H 0.593 0.702 0.908
10 H 0.614 0.851 0.570
11 H 0.702 0.908 0.593
12 H 0.851 0.570 0.614
13 H 0.908 0.593 0.702
14 I 0.070 0.532 0.928
15 I 0.072 0.930 0.468
16 I 0.468 0.072 0.930
17 I 0.532 0.928 0.070
18 I 0.928 0.070 0.532
19 I 0.930 0.468 0.072

- space group = R-3


Record 5
# AlCd7

An optimized crystal structure of AlCd7 (PBE, the Alexandria database).

abc: 6.299 6.299 6.299
angles: 60.00 60.00 60.00
Fractional coordinates of all 8 atoms:
1 Al 0.000 0.000 0.000
2 Cd 0.000 0.000 0.500
3 Cd 0.000 0.500 0.000
4 Cd 0.000 0.500 0.500
5 Cd 0.500 0.000 0.000
6 Cd 0.500 0.000 0.500
7 Cd 0.500 0.500 0.000
8 Cd 0.500 0.500 0.500

- ΔE_f (eV/atom) = 0.07
- space group = Fm-3m


Record 6
# GdHoIn2

An optimized crystal structure of GdHoIn2 (PBE, the Alexandria database).

abc: 3.544 3.544 8.517
angles: 90.00 90.00 90.00
Fractional coordinates of all 4 atoms:
1 Gd 0.000 0.000 0.000
2 Ho 0.000 0.000 0.500
3 In 0.500 0.500 0.254
4 In 0.500 0.500 0.746

- ΔE_f (eV/atom) = -0.48
- space group = P4/mmm


Record 7
# Na2Be2SnAu5

An optimized crystal structure of Na2Be2SnAu5 (PBE, the Alexandria database).

abc: 10.874 10.874 3.121
angles: 90.00 90.00 90.00
Fractional coordinates of all 20 atoms:
1 Na 0.178 0.322 0.000
2 Na 0.322 0.822 0.000
3 Na 0.678 0.178 0.000
4 Na 0.822 0.678 0.000
5 Be 0.120 0.620 0.000
6 Be 0.380 0.120 0.000
7 Be 0.620 0.880 0.000
8 Be 0.880 0.380 0.000
9 Sn 0.000 0.000 0.000
10 Sn 0.500 0.500 0.000
11 Au 0.000 0.500 0.500
12 Au 0.067 0.777 0.500
13 Au 0.223 0.067 0.500
14 Au 0.277 0.567 0.500
15 Au 0.433 0.277 0.500
16 Au 0.500 0.000 0.500
17 Au 0.567 0.723 0.500
18 Au 0.723 0.433 0.500
19 Au 0.777 0.933 0.500
20 Au 0.933 0.223 0.500

- ΔE_f (eV/atom) = -0.25
- space group = P4/mbm


Record 8
# Ba2OsBr

An optimized crystal structure of Ba2OsBr (PBE, the Alexandria database).

abc: 3.793 3.793 8.636
angles: 90.00 90.00 90.00
Fractional coordinates of all 4 atoms:
1 Ba 0.000 0.000 0.220
2 Ba 0.000 0.000 0.780
3 Os 0.500 0.500 0.000
4 Br 0.500 0.500 0.500

- E_form (uncorrected) (eV/f.u.) = -0.93
- ΔE to the lowest computed polymorph (meV per atom) = 0.0
- space group = P4/mmm


For each record above, in turn, the calculated volume values are 30.35, 27.85, 31.48, 23.08, 22.09, 26.74, 18.45, 31.07 Å³/atom.
For each record above, in turn, the calculated uncorrected energy values are -24.682, -17.185, -93.175, -52.245, -9.568, -26.060, -66.026, -17.682 eV for the cell shown.